The following is a DFT calculation (PBE) of an optimized crystal structure of HfAgTe2.

abc: 3.6764 3.6764 28.5321
angles: 90.00 90.00 120.00
Atoms (fractional coordinates):
Hf: 0.0000 0.0000 0.0000
Hf: 0.3333 0.6667 0.6667
Hf: 0.6667 0.3333 0.3333
Ag: 0.0000 0.0000 0.5000
Ag: 0.3333 0.6667 0.1667
Ag: 0.6667 0.3333 0.8333
Te: 0.0000 0.0000 0.0969
Te: 0.0000 0.0000 0.9031
Te: 0.3333 0.6667 0.5698
Te: 0.3333 0.6667 0.7635
Te: 0.6667 0.3333 0.2365
Te: 0.6667 0.3333 0.4302

- Theoretical density: 8.08 g cm⁻³
- Magnetization: 0.0 μB per cell
- Calculated total energy: -53.25 eV/cell